# KRb2ZrOF5

A relaxed KRb2ZrOF5 crystal (GGA-PBEsol, the Alexandria database).

```
KRb2ZrOF5
1.0
-3.2096 3.2096 4.6005
3.2096 -3.2096 4.6005
3.2096 3.2096 -4.6005
K Rb Zr O F
1 2 1 1 5
Cartesian
0.0000 0.0000 0.0000
3.2096 0.0000 2.1284
0.0000 3.2096 2.1284
0.0000 0.0000 4.4534
0.0000 0.0000 2.5925
1.7670 1.7670 0.1259
1.4426 -1.4426 4.7264
0.0000 0.0000 6.6545
-1.4426 1.4426 4.7264
1.4426 1.4426 4.7264
```

Results
**Raw formation energy**: -3.1126 eV/atom
**Density of states at the Fermi level**: 0.000 states/eV per atom
**Uncorrected energy**: -58.3 eV for the cell shown

# LiYAl2Fe

A relaxed LiYAl2Fe crystal (GGA-PBEsol, the Alexandria database).

```
LiYAl2Fe
1.0
4.3933 0.0000 0.0000
0.0000 4.3933 0.0000
0.0000 0.0000 4.3773
Li Y Al Fe
1 1 2 1
Cartesian
0.0000 0.0000 0.0000
2.1966 2.1966 2.1886
0.0000 2.1966 0.0000
2.1966 0.0000 0.0000
0.0000 0.0000 2.1886
```

Results
**Density of states at the Fermi level**: 0.710 states/eV per atom
**Uncorrected energy**: -24.8 eV for the cell shown
**Energy of formation**: 0.235 eV per atom